# 1
Y3TaO6: optimized geometry, GGA-PBE.

a = 5.5280 Å, b = 7.1714 Å, c = 7.1714 Å
α = 98.72°, β = 90.00°, γ = 90.00°
Closest atoms and distances in Å follow each position.
Atoms (fractional coordinates):
O1 0.1928 0.3669 0.3311  4 Y 2.21-2.30
O2 0.1605 0.7828 0.2172  1 Ta 1.93
O3 0.6928 0.3311 0.3669  4 Y 2.21-2.30
Y1 0.4627 0.3225 0.1016  5 O 2.21-2.43
Y2 0.4627 0.8984 0.6775  5 O 2.21-2.43
Ta1 0.4779 0.8559 0.1441  4 O 1.93-2.07
Y3 0.4110 0.3963 0.6037  7 O 2.28-2.44
Y4 0.9110 0.6037 0.3963  7 O 2.28-2.44
O4 0.1928 0.6689 0.6331  4 Y 2.21-2.30
O5 0.6707 0.8888 0.3945  1 Ta 2.07
O6 0.6707 0.6055 0.1112  1 Ta 2.07
O7 0.6605 0.2172 0.7828  1 Ta 1.93
Ta2 0.9779 0.1441 0.8559  4 O 1.93-2.07
O8 0.1707 0.3945 0.8888  1 Ta 2.07
Y5 0.9627 0.1016 0.3225  5 O 2.21-2.43
O9 0.6928 0.6331 0.6689  4 Y 2.21-2.30
O10 0.7835 0.9821 0.0179  2 Ta 2.06-2.18
O11 0.1707 0.1112 0.6055  1 Ta 2.07
Y6 0.9627 0.6775 0.8984  5 O 2.21-2.43
O12 0.2835 0.0179 0.9821  2 Ta 2.06-2.18

Final energy   -92.07 eV per formula unit
Calculated volume   14.05 A^3/atom
Raw formation energy   -3108 meV/atom


# 2
YTa2O2: optimized geometry, GGA-PBE.

a = 6.3351 Å, b = 6.3351 Å, c = 4.0494 Å
α = 90.00°, β = 90.00°, γ = 90.00°
Closest atoms and distances in Å follow each position.
Atoms (fractional coordinates):
Y1 0.0000 0.0000 0.0000  4 O 2.37
O1 0.6649 0.8351 0.0000  2 Ta 2.03
Ta1 0.3403 0.1597 0.5000  2 O 2.03
O2 0.8351 0.3351 0.0000  2 Ta 2.03
Ta2 0.1597 0.6597 0.5000  2 O 2.03
Ta3 0.8403 0.3403 0.5000  2 O 2.03
Ta4 0.6597 0.8403 0.5000  2 O 2.03
Y2 0.5000 0.5000 0.0000  4 O 2.37
O3 0.3351 0.1649 0.0000  2 Ta 2.03
O4 0.1649 0.6649 0.0000  2 Ta 2.03

Final energy   -47.58 eV per formula unit
Energy above the lowest structure with this stoichiometry   0.00 eV per formula unit
Calculated volume   16.25 A^3/atom
Raw formation energy   -1498 meV/atom


# 3
YbTaO4: optimized geometry, GGA-PBE.

a = 6.5501 Å, b = 6.5501 Å, c = 5.1052 Å
α = 69.44°, β = 69.44°, γ = 114.63°
Closest atoms and distances in Å follow each position.
Atoms (fractional coordinates):
Yb1 0.1319 0.8681 0.7500  8 O 2.33-2.48
O1 0.7101 0.7702 0.7893  1 Ta 1.96
O2 0.5536 0.1315 0.6629  1 Ta 1.88
O3 0.2298 0.2899 0.7107  1 Ta 1.96
O4 0.7702 0.7101 0.2893  1 Ta 1.96
Yb2 0.8681 0.1319 0.2500  8 O 2.33-2.48
Ta1 0.6015 0.3985 0.7500  4 O 1.88-1.96
Ta2 0.3985 0.6015 0.2500  4 O 1.88-1.96
O5 0.8685 0.4464 0.8371  1 Ta 1.88
O6 0.4464 0.8685 0.3371  1 Ta 1.88
O7 0.2899 0.2298 0.2107  1 Ta 1.96
O8 0.1315 0.5536 0.1629  1 Ta 1.88

Final energy   -50.48 eV per formula unit
Calculated volume   12.60 A^3/atom
Raw formation energy   -2878 meV/atom


# 4
YbTaO4: optimized geometry, GGA-PBE.

a = 5.7499 Å, b = 5.1268 Å, c = 5.3332 Å
α = 85.37°, β = 90.00°, γ = 90.00°
Closest atoms and distances in Å follow each position.
Atoms (fractional coordinates):
O1 0.4130 0.2854 0.4669  2 Ta 2.01-2.16
O2 0.8913 0.7532 0.1086  1 Ta 1.90
Ta1 0.6771 0.5000 0.2500  4 O 1.90-2.01
O3 0.8913 0.2468 0.3914  1 Ta 1.90
Yb1 0.2022 0.0000 0.2500  6 O 2.27-2.35
O4 0.5870 0.7146 0.5331  2 Ta 2.01-2.16
Yb2 0.7978 0.0000 0.7500  6 O 2.27-2.35
O5 0.1087 0.7532 0.6086  1 Ta 1.90
Ta2 0.3229 0.5000 0.7500  4 O 1.90-2.01
O6 0.4130 0.7146 0.0331  2 Ta 2.01-2.16
O7 0.5870 0.2854 0.9669  2 Ta 2.01-2.16
O8 0.1087 0.2468 0.8914  1 Ta 1.90

Final energy   -50.55 eV per formula unit
Calculated volume   13.06 A^3/atom
Raw formation energy   -2889 meV/atom


# 5
Ta3ZnO: optimized geometry, GGA-PBE.

a = 3.2763 Å, b = 5.5415 Å, c = 8.3958 Å
α = 90.00°, β = 90.00°, γ = 107.15°
Closest atoms and distances in Å follow each position.
Atoms (fractional coordinates):
Ta1 0.3562 0.7153 0.0506  2 O 2.26-2.27
Ta2 0.9585 0.9158 0.7500  2 O 2.15
Zn1 0.2604 0.5186 0.7500  8 Ta 2.65-2.73
Ta3 0.3562 0.7153 0.4494  2 O 2.26-2.27
Zn2 0.7396 0.4814 0.2500  8 Ta 2.65-2.73
Ta4 0.0415 0.0842 0.2500  2 O 2.15
Ta5 0.6438 0.2847 0.5506  2 O 2.26-2.27
O1 0.0000 0.0000 0.5000  6 Ta 2.15-2.27
Ta6 0.6438 0.2847 0.9494  2 O 2.26-2.27
O2 0.0000 0.0000 0.0000  6 Ta 2.15-2.27

Final energy   -44.78 eV per formula unit
Calculated volume   14.57 A^3/atom
Raw formation energy   -598 meV/atom


# 6
Ta3ZnO: optimized geometry, GGA-PBE.

a = 4.2317 Å, b = 4.2317 Å, c = 4.2317 Å
α = 90.00°, β = 90.00°, γ = 90.00°
Closest atoms and distances in Å follow each position.
Atoms (fractional coordinates):
Zn1 0.5000 0.5000 0.5000  12 Ta 2.99
Ta1 0.0000 0.0000 0.5000  2 O 2.12
Ta2 0.5000 0.0000 0.0000  2 O 2.12
O1 0.0000 0.0000 0.0000  6 Ta 2.12
Ta3 0.0000 0.5000 0.0000  2 O 2.12

Final energy   -43.96 eV per formula unit
Calculated volume   15.16 A^3/atom
Raw formation energy   -433 meV/atom


# 7
TaZn2O: optimized geometry, GGA-PBE.

a = 4.3622 Å, b = 4.3622 Å, c = 4.3622 Å
α = 60.00°, β = 60.00°, γ = 60.00°
Closest atoms and distances in Å follow each position.
Atoms (fractional coordinates):
O1 0.0000 0.0000 0.0000  8 Zn 2.67
Zn1 0.7500 0.7500 0.7500  4 Ta 2.67, 4 O 2.67
Zn2 0.2500 0.2500 0.2500  4 Ta 2.67, 4 O 2.67
Ta1 0.5000 0.5000 0.5000  8 Zn 2.67

Final energy   -16.55 eV per formula unit
Energy above the lowest structure with this stoichiometry   3.71 eV per formula unit
Calculated volume   14.67 A^3/atom
Raw formation energy   703 meV/atom


# 8
TaZn3O3: optimized geometry, GGA-PBE.

a = 5.8092 Å, b = 5.8092 Å, c = 5.8092 Å
α = 90.00°, β = 90.00°, γ = 90.00°
Closest atoms and distances in Å follow each position.
Atoms (fractional coordinates):
Ta1 0.0000 0.0000 0.0000  12 Zn 3.25, 12 O 3.25
O1 0.0000 0.2500 0.5000  4 Zn 2.05
Zn1 0.7500 0.0000 0.5000  4 O 2.05
Zn2 0.2500 0.0000 0.5000  4 O 2.05
Zn3 0.0000 0.5000 0.7500  4 O 2.05
O2 0.7500 0.5000 0.0000  4 Zn 2.05
Zn4 0.0000 0.5000 0.2500  4 O 2.05
O3 0.0000 0.7500 0.5000  4 Zn 2.05
O4 0.5000 0.0000 0.2500  4 Zn 2.05
Zn5 0.5000 0.2500 0.0000  4 O 2.05
Zn6 0.5000 0.7500 0.0000  4 O 2.05
O5 0.2500 0.5000 0.0000  4 Zn 2.05
Ta2 0.5000 0.5000 0.5000  12 O 3.25, 12 Zn 3.25
O6 0.5000 0.0000 0.7500  4 Zn 2.05

Final energy   -31.74 eV per formula unit
Calculated volume   14.00 A^3/atom
Raw formation energy   -170 meV/atom


# 9
Ta2Zn4O9: optimized geometry, GGA-PBE.

a = 8.8571 Å, b = 8.9603 Å, c = 10.5141 Å
α = 87.52°, β = 87.59°, γ = 61.18°
Closest atoms and distances in Å follow each position.
Atoms (fractional coordinates):
O1 0.1022 0.0505 0.3401  2 Ta 1.91-2.01
O2 0.4653 0.0933 0.8761  2 Zn 2.05-2.12, 2 Ta 2.14-2.18
Zn1 0.9934 0.7453 0.2692  4 O 1.96-2.10
Zn2 0.6716 0.4083 0.9524  4 O 1.95-2.03
O3 0.2345 0.5709 0.7045  1 Ta 1.95, 2 Zn 1.99-2.09
O4 0.5903 0.9130 0.6200  2 Zn 2.04-2.11, 2 Ta 2.09-2.26
O5 0.2204 0.9573 0.0836  2 Ta 2.00-2.03, 1 Zn 2.09
Ta1 0.3255 0.3530 0.7981  5 O 1.92-2.11
O6 0.4437 0.7677 0.3121  2 Ta 1.97-2.11, 1 Zn 1.99
Zn3 0.2258 0.7975 0.7575  4 O 2.00-2.15
O7 0.7775 0.7386 0.3248  2 Zn 1.93-2.00, 1 Ta 2.02
O8 0.8823 0.2459 0.0519  2 Zn 1.98-2.03, 1 Ta 2.02
Zn4 0.0066 0.2547 0.7308  4 O 1.96-2.10
O9 0.5563 0.2323 0.6879  2 Ta 1.97-2.11, 1 Zn 1.99
O10 0.7835 0.4395 0.7973  1 Ta 1.93, 2 Zn 1.95-1.99
O11 0.5425 0.2449 0.1886  2 Zn 1.93-2.00, 1 Ta 2.00
O12 0.7655 0.4291 0.2955  1 Ta 1.95, 2 Zn 1.99-2.09
O13 0.2267 0.9167 0.5808  1 Ta 1.99, 2 Zn 2.00-2.10
Zn5 0.4219 0.9025 0.9511  4 O 1.93-2.12
O14 0.5583 0.5810 0.5778  1 Ta 1.90, 2 Zn 2.00-2.07
Ta2 0.6930 0.9978 0.7571  5 O 1.91-2.09
Zn6 0.3628 0.6725 0.4574  4 O 1.99-2.12
O15 0.4534 0.4039 0.9215  1 Ta 1.96, 2 Zn 1.99-2.02
O16 0.5347 0.9067 0.1239  2 Zn 2.05-2.12, 2 Ta 2.14-2.18
O17 0.5466 0.5961 0.0785  1 Ta 1.96, 2 Zn 1.99-2.02
O18 0.2165 0.5605 0.2027  1 Ta 1.93, 2 Zn 1.95-1.99
Zn7 0.6606 0.9365 0.4294  4 O 1.93-2.11
O19 0.8978 0.9495 0.6599  2 Ta 1.91-2.01
Zn8 0.3284 0.5917 0.0476  4 O 1.95-2.03
O20 0.2349 0.2360 0.1783  1 Zn 1.95, 2 Ta 1.97-2.14
O21 0.4575 0.7551 0.8114  2 Zn 1.93-2.00, 1 Ta 2.00
O22 0.7733 0.0833 0.4192  1 Ta 1.99, 2 Zn 2.00-2.10
Ta3 0.6676 0.6481 0.6980  4 O 1.90-2.00
O23 0.0886 0.0466 0.8380  1 Ta 1.96, 2 Zn 1.96-2.15
Zn9 0.7742 0.2025 0.2425  4 O 2.00-2.15
O24 0.0947 0.7592 0.4427  1 Ta 2.01, 3 Zn 2.07-2.12
Zn10 0.5781 0.0975 0.0489  4 O 1.93-2.12
O25 0.8695 0.5935 0.0902  1 Ta 1.92, 2 Zn 1.99-2.02
Zn11 0.0383 0.3447 0.0669  4 O 1.95-2.02
O26 0.1307 0.4122 0.4114  1 Ta 1.94, 2 Zn 1.95-2.05
Ta4 0.3070 0.0022 0.2429  5 O 1.91-2.09
O27 0.9114 0.9534 0.1620  1 Ta 1.96, 2 Zn 1.96-2.15
Ta5 0.0000 0.0000 0.5000  6 O 1.99-2.01
Ta6 0.6745 0.6470 0.2019  5 O 1.92-2.11
Zn12 0.6372 0.3275 0.5426  4 O 1.99-2.12
Zn13 0.3394 0.0635 0.5706  4 O 1.93-2.11
O28 0.9053 0.2408 0.5573  1 Ta 2.01, 3 Zn 2.07-2.12
O29 0.2225 0.2614 0.6752  2 Zn 1.93-2.00, 1 Ta 2.02
Zn14 0.9617 0.6553 0.9331  4 O 1.95-2.02
O30 0.7796 0.0427 0.9164  2 Ta 2.00-2.03, 1 Zn 2.09
O31 0.1177 0.7541 0.9481  2 Zn 1.98-2.03, 1 Ta 2.02
Ta7 0.3324 0.3519 0.3020  4 O 1.90-2.00
Ta8 0.0000 0.0000 0.0000  6 O 1.96-2.03
Zn15 0.9023 0.4333 0.4398  4 O 1.95-2.07
O32 0.7651 0.7640 0.8217  1 Zn 1.95, 2 Ta 1.97-2.14
Zn16 0.0977 0.5667 0.5602  4 O 1.95-2.07
O33 0.8693 0.5878 0.5886  1 Ta 1.94, 2 Zn 1.95-2.05
O34 0.4097 0.0870 0.3800  2 Zn 2.04-2.11, 2 Ta 2.09-2.26
O35 0.1305 0.4065 0.9098  1 Ta 1.92, 2 Zn 1.99-2.02
O36 0.4417 0.4190 0.4222  1 Ta 1.90, 2 Zn 2.00-2.07

Final energy   -104.33 eV per formula unit
Energy above the lowest structure with this stoichiometry   0.00 eV per formula unit
Calculated volume   12.17 A^3/atom
Raw formation energy   -2061 meV/atom


# 10
Ta2Zn4O9: optimized geometry, GGA-PBE.

a = 5.2750 Å, b = 9.4616 Å, c = 13.3000 Å
α = 92.38°, β = 90.00°, γ = 90.00°
Closest atoms and distances in Å follow each position.
Atoms (fractional coordinates):
O1 0.1806 0.1861 0.2481  2 Ta 2.06-2.10, 1 Zn 2.07
O2 0.3852 0.6465 0.3859  1 Ta 1.99, 3 Zn 2.06-2.18
O3 0.1248 0.7935 0.5609  1 Ta 1.97, 2 Zn 2.05-2.13
Zn1 0.4864 0.1890 0.9232  4 O 2.00-2.13
O4 0.8815 0.5241 0.7777  2 Zn 2.07-2.18, 2 Ta 2.12-2.16
O5 0.8364 0.3858 0.9653  1 Ta 1.93, 2 Zn 2.01-2.12
Ta1 0.5017 0.1667 0.6599  6 O 1.93-2.12
O6 0.8194 0.8139 0.7519  2 Ta 2.06-2.10, 1 Zn 2.07
Ta2 0.9983 0.6667 0.1599  6 O 1.93-2.12
O7 0.8490 0.4987 0.4103  1 Ta 1.90, 1 Zn 2.00
Zn2 0.0136 0.6890 0.4232  4 O 2.00-2.13
Zn3 0.5136 0.8110 0.0768  4 O 2.00-2.13
O8 0.6510 0.9987 0.9103  1 Ta 1.90, 1 Zn 2.00
Ta3 0.9998 0.3405 0.3406  5 O 1.90-2.10
O9 0.3178 0.4349 0.8674  1 Ta 1.95, 2 Zn 2.06-2.08
O10 0.3490 0.0013 0.0897  1 Ta 1.90, 1 Zn 2.00
Zn4 0.9964 0.6619 0.9047  4 O 2.01-2.18
O11 0.3282 0.3539 0.4058  1 Ta 1.94, 2 Zn 2.04
Zn5 0.5000 0.5000 0.0000  6 O 2.08-2.24
Zn6 0.0036 0.3381 0.0953  4 O 2.01-2.18
O12 0.1185 0.4759 0.2223  2 Zn 2.07-2.18, 2 Ta 2.12-2.16
O13 0.1636 0.6142 0.0347  1 Ta 1.93, 2 Zn 2.01-2.12
Ta4 0.5002 0.8405 0.8406  5 O 1.90-2.10
O14 0.1718 0.8539 0.9058  1 Ta 1.94, 2 Zn 2.04
O15 0.8852 0.8535 0.1141  1 Ta 1.99, 3 Zn 2.06-2.18
Ta5 0.4983 0.8333 0.3401  6 O 1.93-2.12
Zn7 0.9864 0.3110 0.5768  4 O 2.00-2.13
O16 0.8314 0.7404 0.2932  2 Ta 2.05-2.07, 1 Zn 2.05
O17 0.6185 0.0241 0.2777  2 Zn 2.07-2.18, 2 Ta 2.12-2.16
O18 0.3364 0.1142 0.5347  1 Ta 1.93, 2 Zn 2.01-2.12
Zn8 0.0000 0.0000 0.5000  6 O 2.08-2.24
O19 0.1148 0.1465 0.8859  1 Ta 1.99, 3 Zn 2.06-2.18
O20 0.8178 0.0651 0.6326  1 Ta 1.95, 2 Zn 2.06-2.08
O21 0.1822 0.9349 0.3674  1 Ta 1.95, 2 Zn 2.06-2.08
O22 0.6248 0.7065 0.9391  1 Ta 1.97, 2 Zn 2.05-2.13
O23 0.3194 0.6861 0.7481  2 Ta 2.06-2.10, 1 Zn 2.07
O24 0.3314 0.7596 0.2068  2 Ta 2.05-2.07, 1 Zn 2.05
Ta6 0.4998 0.1595 0.1594  5 O 1.90-2.10
O25 0.3752 0.2935 0.0609  1 Ta 1.97, 2 Zn 2.05-2.13
Ta7 0.0002 0.6595 0.6594  5 O 1.90-2.10
Zn9 0.0049 0.0073 0.7609  4 O 2.06-2.16
O26 0.1686 0.2596 0.7068  2 Ta 2.05-2.07, 1 Zn 2.05
O27 0.6636 0.8858 0.4653  1 Ta 1.93, 2 Zn 2.01-2.12
O28 0.6718 0.6461 0.5942  1 Ta 1.94, 2 Zn 2.04
Ta8 0.0017 0.3333 0.8401  6 O 1.93-2.12
O29 0.3815 0.9759 0.7223  2 Zn 2.07-2.18, 2 Ta 2.12-2.16
Zn10 0.0000 0.0000 0.0000  6 O 2.04-2.19
O30 0.6822 0.5651 0.1326  1 Ta 1.95, 2 Zn 2.06-2.08
O31 0.6806 0.3139 0.2519  2 Ta 2.06-2.10, 1 Zn 2.07
O32 0.6686 0.2404 0.7932  2 Ta 2.05-2.07, 1 Zn 2.05
O33 0.6148 0.3535 0.6141  1 Ta 1.99, 3 Zn 2.06-2.18
Zn11 0.4951 0.5073 0.2609  4 O 2.06-2.16
Zn12 0.5036 0.1619 0.4047  4 O 2.01-2.18
Zn13 0.5049 0.4927 0.7391  4 O 2.06-2.16
O34 0.8282 0.1461 0.0942  1 Ta 1.94, 2 Zn 2.04
O35 0.8752 0.2065 0.4391  1 Ta 1.97, 2 Zn 2.05-2.13
Zn14 0.4964 0.8381 0.5953  4 O 2.01-2.18
Zn15 0.9951 0.9927 0.2391  4 O 2.06-2.16
Zn16 0.5000 0.5000 0.5000  6 O 2.04-2.19
O36 0.1510 0.5013 0.5897  1 Ta 1.90, 1 Zn 2.00

Final energy   -103.41 eV per formula unit
Energy above the lowest structure with this stoichiometry   0.92 eV per formula unit
Calculated volume   11.05 A^3/atom
Raw formation energy   -1999 meV/atom


# 11
TaZn3O: optimized geometry, GGA-PBE.

a = 5.1026 Å, b = 5.1026 Å, c = 5.1026 Å
α = 90.00°, β = 90.00°, γ = 90.00°
Closest atoms and distances in Å follow each position.
Atoms (fractional coordinates):
Ta1 0.0000 0.0000 0.0000  6 Zn 2.55
Zn1 0.0000 0.5000 0.0000  2 Ta 2.55
Zn2 0.5000 0.0000 0.0000  2 Ta 2.55
O1 0.5000 0.5000 0.5000  12 Zn 3.61
Zn3 0.0000 0.0000 0.5000  2 Ta 2.55

Final energy   -12.83 eV per formula unit
Energy above the lowest structure with this stoichiometry   6.47 eV per formula unit
Calculated volume   26.57 A^3/atom
Raw formation energy   1560 meV/atom


# 12
Ta2ZnO: optimized geometry, GGA-PBE.

a = 4.9581 Å, b = 4.9581 Å, c = 6.7980 Å
α = 68.61°, β = 68.61°, γ = 90.00°
Closest atoms and distances in Å follow each position.
Atoms (fractional coordinates):
Ta1 0.5154 0.1250 0.2500  2 O 2.03
Ta2 0.3750 0.4846 0.7500  2 O 2.03
Ta3 0.2346 0.6250 0.2500  2 O 2.03
Zn1 0.7500 0.2500 0.5000  4 Ta 2.61
O1 0.5000 0.5000 0.0000  4 Ta 2.03
Ta4 0.8750 0.7654 0.7500  2 O 2.03
Zn2 0.0000 0.0000 0.0000  4 Ta 2.61
O2 0.2500 0.7500 0.5000  4 Ta 2.03

Final energy   -30.36 eV per formula unit
Energy above the lowest structure with this stoichiometry   0.00 eV per formula unit
Calculated volume   17.90 A^3/atom
Raw formation energy   -105 meV/atom